# BaLi2Ac2Pb2 PBE optimized geometry
# D(E_F) (states/eV/atom): 0.58
# M_tot (μB per formula unit): 0.000
# Energy (eV per atom): -3.41
# E_form (eV/f.u.): -2.51
data_BaLi2Ac2Pb2
_space_group_name_H-M_alt 'R -3 m'
_space_group_IT_number 166
_space_group_name_Hall '-R 3 2"'
_cell_length_a 5.1655
_cell_length_b 5.1655
_cell_length_c 31.4889
_cell_angle_alpha 90.00
_cell_angle_beta 90.00
_cell_angle_gamma 120.00
loop_
_atom_site_label
_atom_site_fract_x
_atom_site_fract_y
_atom_site_fract_z
Ba1 0.0000 0.0000 0.0000
Li1 0.0000 0.0000 0.4117
Ac1 0.0000 0.0000 0.1304
Pb1 0.0000 0.0000 0.2565